[1]
{"formula": "TaBeBr2", "functional": "PBE-GGA", "state": "relaxed", "lattice": [[4.4913, 0.0000, 0.0000], [0.0000, 3.2011, 0.0054], [0.0000, -0.4746, 5.4335]], "species": ["Be", "Br", "Br", "Ta"], "frac_coords": [[0.5000, 0.7500, 0.7500], [0.0000, 0.0523, 0.9997], [0.0000, 0.4477, 0.5003], [0.5000, 0.2500, 0.2500]], "vol_a3_per_atom": 19.5, "final_energy_ev_per_cell": -16.47, "raw_formation_energy_ev_per_atom": 0.614, "dos_ef_per_ev_atom": 0.544, "crystal_system": "monoclinic"}

---

[2]
{"formula": "TaBeBr3", "functional": "PBE-GGA", "state": "relaxed", "lattice": [[4.7868, 0.0000, 0.0000], [0.0000, 4.7868, 0.0000], [0.0000, 0.0000, 4.7868]], "species": ["Ta", "Be", "Br", "Br", "Br"], "frac_coords": [[0.5000, 0.5000, 0.5000], [0.0000, 0.0000, 0.0000], [0.0000, 0.5000, 0.0000], [0.0000, 0.0000, 0.5000], [0.5000, 0.0000, 0.0000]], "vol_a3_per_atom": 21.9, "final_energy_ev_per_cell": -17.28, "raw_formation_energy_ev_per_atom": 0.664, "dos_ef_per_ev_atom": 0.766, "crystal_system": "cubic"}

---

[3]
{"formula": "TaBeBr2", "functional": "PBE-GGA", "state": "relaxed", "lattice": [[-3.6365, -3.9289, -1.6236], [5.2809, -1.1410, 1.3566], [0.2338, -0.8327, 3.0627]], "species": ["Be", "Br", "Br", "Ta"], "frac_coords": [[0.5000, 0.5000, 0.0000], [0.0000, 0.0000, 0.0000], [0.5000, 0.0000, 0.5000], [0.0000, 0.5000, 0.5000]], "vol_a3_per_atom": 19.4, "final_energy_ev_per_cell": -15.97, "raw_formation_energy_ev_per_atom": 0.738, "dos_ef_per_ev_atom": 0.493, "crystal_system": "monoclinic"}

---

[4]
{"formula": "Ta2BeBr", "functional": "PBE-GGA", "state": "relaxed", "lattice": [[-0.7936, 3.0951, 3.5101], [1.0768, 0.8182, 4.5499], [3.8945, 2.7981, -0.8782]], "species": ["Be", "Br", "Ta", "Ta"], "frac_coords": [[0.7500, 0.7500, 0.7500], [0.2500, 0.2500, 0.2500], [0.0036, 0.0036, 0.9751], [0.4964, 0.4964, 0.5249]], "vol_a3_per_atom": 17.0, "final_energy_ev_per_cell": -26.77, "raw_formation_energy_ev_per_atom": 0.583, "dos_ef_per_ev_atom": 0.682, "crystal_system": "monoclinic"}

---

Q: Number 3 is which compound?
A: TaBeBr2